No. 1
Crystalline NaY2ScRu at its relaxed geometry. Source: Alexandria, functional PBE.

a = 5.4520 Å, b = 5.4520 Å, c = 5.0833 Å
α = 90.00°, β = 90.00°, γ = 90.00°
Sites, in units of the cell vectors:
1 Y 0.0000 0.5000 0.0000
2 Y 0.5000 0.0000 0.0000
3 Ru 0.0000 0.0000 0.0000
4 Sc 0.0000 0.0000 0.5000
5 Na 0.5000 0.5000 0.5000

Calculated values
space-group type: P4/mmm, No. 123
crystal system: tetragonal
total energy: -6.017 eV/atom

***

No. 2
Crystalline Na3RuSe at its relaxed geometry. Source: Alexandria, functional PBE.

a = 5.5320 Å, b = 5.5320 Å, c = 5.5320 Å
α = 90.00°, β = 90.00°, γ = 90.00°
Sites, in units of the cell vectors:
1 Ru 0.0000 0.0000 0.0000
2 Se 0.5000 0.5000 0.5000
3 Na 0.0000 0.5000 0.0000
4 Na 0.0000 0.0000 0.5000
5 Na 0.5000 0.0000 0.0000

Calculated values
space-group type: Pm-3m, No. 221
formation energy without anion corrections: 0.8113 eV per atom
crystal system: cubic
total energy: -2.532 eV/atom